Record 1
Entry from Alexandria via LeMat-Bulk: a geometry-optimized ZrBeIn structure (PBE-GGA).

a = 3.6296 Å, b = 3.9149 Å, c = 8.0288 Å
α = 104.11°, β = 90.00°, γ = 90.00°
Atoms (fractional coordinates):
Zr 0.7500 0.0814 0.1627
Be 0.2500 0.5367 0.0735
In 0.7500 0.2986 0.5972
Zr 0.2500 0.9186 0.8373
In 0.2500 0.7014 0.4028
Be 0.7500 0.4633 0.9265

N(E_F), states/eV per cell: 4.32
Crystal system: orthorhombic
Energy above the most stable polymorph in this dataset, meV/atom: 0
Formation energy, meV per atom: -189


Record 2
Entry from Alexandria via LeMat-Bulk: a geometry-optimized CoHg2W2 structure (PBE-GGA).

a = 3.6161 Å, b = 3.6161 Å, c = 7.8176 Å
α = 76.63°, β = 76.63°, γ = 90.00°
Each line ends with the local moment (μB).
Atoms (fractional coordinates):
W 0.2500 0.7500 0.5000  0.07
W 0.7500 0.2500 0.5000  0.07
Hg 0.5933 0.5933 0.8134  -0.02
Co 0.0000 0.0000 0.0000  1.75
Hg 0.4067 0.4067 0.1866  -0.02

N(E_F), states/eV per cell: 3.59
Crystal system: tetragonal
Energy above the most stable polymorph in this dataset, meV/atom: 0
Formation energy, meV per atom: 1054


Record 3
Entry from Alexandria via LeMat-Bulk: a geometry-optimized ZrAgHgI6 structure (PBE-GGA).

a = 7.6069 Å, b = 7.8601 Å, c = 8.0896 Å
α = 111.85°, β = 101.43°, γ = 57.83°
Atoms (fractional coordinates):
I 0.9724 0.3113 0.2857
I 0.3304 0.1086 0.7050
Hg 0.2446 0.8845 0.9983
Ag 0.6183 0.6689 0.5238
I 0.6016 0.9560 0.2481
Zr 0.3235 0.3419 0.4933
I 0.6166 0.4285 0.7378
I 0.9845 0.7224 0.7219
I 0.3079 0.5779 0.2860

N(E_F), states/eV per cell: 1.14
Crystal system: triclinic
Formation energy from raw total energies, eV per atom: -0.5456


Record 4
Entry from Alexandria via LeMat-Bulk: a geometry-optimized YSb2OsI structure (PBE-GGA).

a = 5.1137 Å, b = 5.1137 Å, c = 5.6248 Å
α = 90.00°, β = 90.00°, γ = 90.00°
Atoms (fractional coordinates):
Os 0.0000 0.0000 0.0000
Sb 0.5000 0.0000 0.0000
Sb 0.0000 0.5000 0.0000
Y 0.5000 0.5000 0.5000
I 0.0000 0.0000 0.5000

N(E_F), states/eV per cell: 4.74
Crystal system: tetragonal
Formation energy from raw total energies, eV per atom: 0.3902
Energy above the most stable polymorph in this dataset, meV/atom: 0


Record 5
Entry from Alexandria via LeMat-Bulk: a geometry-optimized Ca2GdAs structure (PBE-GGA).

a = 4.0949 Å, b = 4.0949 Å, c = 11.0141 Å
α = 79.29°, β = 79.29°, γ = 60.00°
Each line ends with the local moment (μB).
Atoms (fractional coordinates):
As 0.5000 0.5000 0.5000  0.03
Ca 0.1182 0.1182 0.6455  0.03
Gd 0.0000 0.0000 0.0000  7.41
Ca 0.8818 0.8818 0.3545  0.03

N(E_F), states/eV per cell: 7.98
Crystal system: trigonal
Formation energy, meV per atom: -317


Record 6
Entry from Alexandria via LeMat-Bulk: a geometry-optimized CaTcRh structure (PBE-GGA).

a = 3.8920 Å, b = 6.3673 Å, c = 5.7927 Å
α = 75.45°, β = 70.36°, γ = 72.22°
Atoms (fractional coordinates):
Ca 0.6560 0.0022 0.9772
Tc 0.4495 0.6328 0.7601
Rh 0.0148 0.8195 0.4416
Ca 0.8034 0.4207 0.2639
Rh 0.3371 0.0740 0.5425
Tc 0.0852 0.4212 0.7002

N(E_F), states/eV per cell: 5.69
Crystal system: monoclinic
Energy above the most stable polymorph in this dataset, meV/atom: 172
Formation energy, meV per atom: 70


Record 7
Entry from Alexandria via LeMat-Bulk: a geometry-optimized LiBi3Te structure (PBE-GGA).

a = 5.2387 Å, b = 5.2387 Å, c = 5.2387 Å
α = 90.00°, β = 90.00°, γ = 90.00°
Atoms (fractional coordinates):
Bi 0.0000 0.0000 0.5000
Bi 0.0000 0.5000 0.0000
Bi 0.5000 0.0000 0.0000
Te 0.5000 0.5000 0.5000
Li 0.0000 0.0000 0.0000

N(E_F), states/eV per cell: 5.30
Crystal system: cubic
Formation energy from raw total energies, eV per atom: 0.2631
Energy above the most stable polymorph in this dataset, meV/atom: 0


Record 8
Entry from Alexandria via LeMat-Bulk: a geometry-optimized RbSr2Zn2 structure (PBE-GGA).

a = 5.7625 Å, b = 5.7625 Å, c = 7.2634 Å
α = 66.63°, β = 66.63°, γ = 90.00°
Atoms (fractional coordinates):
Sr 0.2500 0.7500 0.5000
Zn 0.3949 0.3949 0.2101
Zn 0.6051 0.6051 0.7899
Rb 0.0000 0.0000 0.0000
Sr 0.7500 0.2500 0.5000

N(E_F), states/eV per cell: 8.06
Crystal system: tetragonal
Energy above the most stable polymorph in this dataset, meV/atom: 62
Formation energy, meV per atom: 56


Record 9
Entry from Alexandria via LeMat-Bulk: a geometry-optimized Ac2Cu5Ir5 structure (PBE-GGA).

a = 4.1297 Å, b = 5.4536 Å, c = 9.2403 Å
α = 90.00°, β = 90.00°, γ = 90.00°
Atoms (fractional coordinates):
Ir 0.5000 0.2456 0.7508
Ac 0.0000 0.5000 0.0000
Ir 0.5000 0.7544 0.2492
Cu 0.0000 0.0000 0.8328
Cu 0.5000 0.0000 0.0000
Cu 0.0000 0.5000 0.6674
Ac 0.0000 0.0000 0.5000
Cu 0.0000 0.0000 0.1672
Ir 0.5000 0.7544 0.7508
Ir 0.5000 0.5000 0.5000
Cu 0.0000 0.5000 0.3326
Ir 0.5000 0.2456 0.2492

N(E_F), states/eV per cell: 8.36
Crystal system: orthorhombic
Formation energy, meV per atom: -300


Record 10
Entry from Alexandria via LeMat-Bulk: a geometry-optimized Tc2AsOs structure (PBE-GGA).

a = 2.8010 Å, b = 2.8010 Å, c = 8.6956 Å
α = 90.00°, β = 90.00°, γ = 117.71°
Each line ends with the local moment (μB).
Atoms (fractional coordinates):
Os 0.5000 0.5000 0.7500  0.14
Tc 0.0000 0.0000 0.0061  0.03
As 0.5000 0.5000 0.2500  0.00
Tc 0.0000 0.0000 0.4939  0.03

N(E_F), states/eV per cell: 6.24
Crystal system: orthorhombic
Formation energy, meV per atom: 517


Record 11
Entry from Alexandria via LeMat-Bulk: a geometry-optimized Th3Co4Ni2 structure (PBE-GGA).

a = 4.0023 Å, b = 5.6099 Å, c = 7.9383 Å
α = 100.46°, β = 90.00°, γ = 110.90°
Atoms (fractional coordinates):
Co 0.9448 0.8895 0.6078
Th 0.0000 0.0000 0.0000
Co 0.0552 0.1105 0.3922
Th 0.6662 0.3324 0.6680
Co 0.7223 0.4445 0.0519
Ni 0.6116 0.2232 0.2782
Th 0.3338 0.6676 0.3320
Ni 0.3884 0.7768 0.7218
Co 0.2777 0.5555 0.9481

N(E_F), states/eV per cell: 8.16
Crystal system: monoclinic
Formation energy, meV per atom: -293


Record 12
Entry from Alexandria via LeMat-Bulk: a geometry-optimized CoTc structure (PBE-GGA).

a = 3.9868 Å, b = 3.9868 Å, c = 7.7871 Å
α = 90.00°, β = 90.00°, γ = 120.00°
Each line ends with the local moment (μB).
Atoms (fractional coordinates):
Tc 0.6667 0.3333 0.9245  0.10
Tc 0.3333 0.6667 0.0755  0.10
Co 0.0000 0.0000 0.2500  1.68
Co 0.0000 0.0000 0.7500  1.68
Tc 0.6667 0.3333 0.5755  0.10
Co 0.3333 0.6667 0.7500  1.08
Co 0.6667 0.3333 0.2500  1.08
Tc 0.3333 0.6667 0.4245  0.10

N(E_F), states/eV per cell: 8.48
Crystal system: hexagonal
Energy above the most stable polymorph in this dataset, meV/atom: 344
Formation energy, meV per atom: 296